Here is a relaxed TaAg2Pd2 crystal from the Alexandria database. Energies are from PBE.

Magnetization, μB/atom: 0.00
Distance to the lowest polymorph of the same formula, eV per atom: 0.335
Energy relative to the elements, eV/f.u.: 2.97

abc: 3.7055 3.7055 7.1012
angles: 74.88 74.88 90.00
Last column: nearest neighbours and their distance in Å.
Element x y z (fractional)
Pd 0.7500 0.2500 0.5000  4 Pd 2.62, 4 Ag 2.72
Pd 0.2500 0.7500 0.5000  4 Pd 2.62, 4 Ag 2.72
Ag 0.4006 0.4006 0.1988  1 Ag 2.62, 4 Pd 2.72, 4 Ta 2.93
Ag 0.5994 0.5994 0.8012  1 Ag 2.62, 4 Pd 2.72, 4 Ta 2.93
Ta 0.0000 0.0000 0.0000  8 Ag 2.93